[1]
First-principles (PBE) data for an optimized crystal structure of PaTaTc2N6, as listed in Alexandria via LeMat-Bulk.

As for the formation energy (no corrections): -0.586 eV per atom. The calculation puts the magnetic moment at 0.0 μB per formula unit. As for the uncorrected energy: -97.90 eV/cell.

The structure belongs to space group P1 (No. 1); the cell edges are 5.3354, 5.4372 and 5.6624 Å and the angles 61.40°, 63.48° and 60.66°. The inequivalent atoms are Pa at (0.0000, 0.0000, 0.0000), Ta at (0.4556, 0.5134, 0.5171), Tc at (0.2082, 0.1876, 0.3579), Tc at (0.6967, 0.6859, 0.9092), N at (0.0851, 0.8089, 0.6657), N at (0.3134, 0.5659, 0.1923), N at (0.4271, 0.1019, 0.6656), N at (0.5542, 0.9135, 0.1771), N at (0.7707, 0.4212, 0.6877) and N at (0.9485, 0.3743, 0.1433).

=====

[2]
First-principles (PBE) data for an optimized crystal structure of PaPd8Pb2, as listed in Alexandria via LeMat-Bulk.

The calculation puts the magnetic moment at 0.0 μB per formula unit. As for the uncorrected energy: -63.18 eV/cell. The formation enthalpy at 0 K is -0.43 eV per atom.

The structure belongs to space group P-1 (No. 2); the cell edges are 5.3848, 5.4699 and 7.0662 Å and the angles 97.66°, 98.96° and 95.40°. The inequivalent atoms are Pa at (0.0000, 0.0000, 0.0000), Pd at (0.1338, 0.8349, 0.6215), Pd at (0.1403, 0.4974, 0.1881), Pd at (0.3411, 0.0291, 0.3153), Pd at (0.4510, 0.7462, 0.9718) and Pb at (0.3080, 0.3638, 0.6552).

=====

[3]
First-principles (PBE) data for an optimized crystal structure of Ca2MgGa3Ag4, as listed in Alexandria via LeMat-Bulk.

The calculation puts the magnetic moment at 0.0 μB per formula unit. As for the uncorrected energy: -28.95 eV/cell. The formation enthalpy at 0 K is -0.29 eV per atom.

The structure belongs to space group P-4m2 (No. 115); the cell edges are 4.2460, 4.2460 and 11.9617 Å and the angles 90.00°, 90.00° and 90.00°. The inequivalent atoms are Ca at (0.0000, 0.5000, 0.2384), Mg at (0.0000, 0.0000, 0.5000), Ga at (0.0000, 0.5000, 0.8626), Ga at (0.5000, 0.5000, 0.5000), Ag at (0.0000, 0.0000, 0.0000), Ag at (0.0000, 0.5000, 0.6465) and Ag at (0.5000, 0.5000, 0.0000).

=====

[4]
First-principles (PBE) data for an optimized crystal structure of Cs2Na2CeSe4, as listed in Alexandria via LeMat-Bulk.

As for the formation energy (no corrections): -1.325 eV per atom. The calculation puts the magnetic moment at 0.0 μB per formula unit. As for the uncorrected energy: -72.28 eV/cell.

The structure belongs to space group C2/m (No. 12); the cell edges are 16.7240, 4.5654 and 8.4434 Å and the angles 90.00°, 110.23° and 90.00°. The inequivalent atoms are Cs at (0.1365, 0.0000, 0.0588), Na at (0.1787, 0.5000, 0.4769), Ce at (0.0000, 0.0000, 0.5000), Se at (0.0053, 0.5000, 0.2795) and Se at (0.1837, 0.0000, 0.6693).

=====

[5]
First-principles (PBE) data for an optimized crystal structure of NaSrYIr2, as listed in Alexandria via LeMat-Bulk.

The calculation puts the magnetic moment at 0.0 μB per formula unit. As for the uncorrected energy: -24.06 eV/cell. The formation enthalpy at 0 K is 0.62 eV per atom.

The structure belongs to space group P4/mmm (No. 123); the cell edges are 5.1437, 5.1437 and 5.3110 Å and the angles 90.00°, 90.00° and 90.00°. The inequivalent atoms are Na at (0.0000, 0.0000, 0.0000), Sr at (0.5000, 0.5000, 0.0000), Y at (0.0000, 0.0000, 0.5000) and Ir at (0.0000, 0.5000, 0.5000).

=====

[6]
First-principles (PBE) data for an optimized crystal structure of NdLuPb2, as listed in Alexandria via LeMat-Bulk.

The calculation puts the magnetic moment at 0.0 μB per formula unit. As for the uncorrected energy: -18.38 eV/cell. The formation enthalpy at 0 K is -0.42 eV per atom.

The structure belongs to space group P4/mmm (No. 123); the cell edges are 5.0614, 5.0614 and 4.4942 Å and the angles 90.00°, 90.00° and 90.00°. The inequivalent atoms are Nd at (0.0000, 0.0000, 0.0000), Lu at (0.5000, 0.5000, 0.0000) and Pb at (0.0000, 0.5000, 0.5000).

=====

[7]
First-principles (PBE) data for an optimized crystal structure of RbMn3B, as listed in Alexandria via LeMat-Bulk.

The calculation puts the energy above the most stable polymorph in this dataset at 1075.3 kJ/mol of formula units. The calculation puts the magnetic moment at 11.4 μB per formula unit. As for the uncorrected energy: -19.26 eV/cell. The formation enthalpy at 0 K is 3.18 eV per atom.

The structure belongs to space group Pm-3m (No. 221); the cell edges are 4.8973, 4.8973 and 4.8973 Å and the angles 90.00°, 90.00° and 90.00°. The inequivalent atoms are Rb at (0.0000, 0.0000, 0.0000), Mn at (0.0000, 0.0000, 0.5000) and B at (0.5000, 0.5000, 0.5000).

=====

[8]
First-principles (PBE) data for an optimized crystal structure of Ca2DyTm, as listed in Alexandria via LeMat-Bulk.

The calculation puts the energy above the most stable polymorph in this dataset at 30.6 kJ/mol of formula units. The calculation puts the magnetic moment at 0.7 μB per formula unit. As for the uncorrected energy: -35.92 eV/cell. The formation enthalpy at 0 K is 0.28 eV per atom.

The structure belongs to space group R-3m (No. 166, hexagonal axes); the cell edges are 3.5593, 3.5593 and 38.9252 Å and the angles 90.00°, 90.00° and 120.00°. The inequivalent atoms are Ca at (0.0000, 0.0000, 0.0873), Dy at (0.0000, 0.0000, 0.5000) and Tm at (0.0000, 0.0000, 0.0000).

=====

[9]
First-principles (PBE) data for an optimized crystal structure of Ac3In2Pb2, as listed in Alexandria via LeMat-Bulk.

The calculation puts the magnetic moment at 0.0 μB per formula unit. As for the uncorrected energy: -57.16 eV/cell. The formation enthalpy at 0 K is -0.48 eV per atom.

The structure belongs to space group C2/m (No. 12); the cell edges are 12.4728, 4.9448 and 8.5750 Å and the angles 90.00°, 111.45° and 90.00°. The inequivalent atoms are Ac at (0.0000, 0.0000, 0.0000), Ac at (0.1722, 0.0000, 0.6325), In at (0.1900, 0.5000, 0.9329) and Pb at (0.0446, 0.5000, 0.3336).

=====

[10]
First-principles (PBE) data for an optimized crystal structure of CdHgPb6, as listed in Alexandria via LeMat-Bulk.

The calculation puts the energy above the most stable polymorph in this dataset at 69.2 kJ/mol of formula units. The calculation puts the magnetic moment at 0.0 μB per formula unit. As for the uncorrected energy: -45.19 eV/cell. The formation enthalpy at 0 K is 0.11 eV per atom.

The structure belongs to space group C2/m (No. 12); the cell edges are 6.0598, 9.8013 and 9.0698 Å and the angles 90.00°, 103.31° and 90.00°. The inequivalent atoms are Cd at (0.0000, 0.0000, 0.0000), Hg at (0.0000, 0.5000, 0.5000), Pb at (0.0493, 0.5000, 0.1777) and Pb at (0.0554, 0.1777, 0.3225).

=====

[11]
First-principles (PBE) data for an optimized crystal structure of BaReBO6, as listed in Alexandria via LeMat-Bulk.

As for the formation energy (no corrections): -2.165 eV per atom. The calculation puts the magnetic moment at 0.0 μB per formula unit. As for the uncorrected energy: -70.29 eV/cell.

The structure belongs to space group P1 (No. 1); the cell edges are 5.1441, 5.1456 and 5.7658 Å and the angles 90.04°, 90.00° and 119.98°. The inequivalent atoms are Ba at (0.0000, 0.0000, 0.0000), Re at (0.3339, 0.6678, 0.4718), B at (0.6672, 0.3338, 0.2388), O at (0.0640, 0.7202, 0.6162), O at (0.2822, 0.3472, 0.6181), O at (0.4753, 0.0242, 0.2211), O at (0.5494, 0.5258, 0.2222), O at (0.6551, 0.9381, 0.6172) and O at (0.9769, 0.4514, 0.2214).

=====

[12]
First-principles (PBE) data for an optimized crystal structure of Tb2Ce3PuTe6, as listed in Alexandria via LeMat-Bulk.

As for the formation energy (no corrections): -1.315 eV per atom. The calculation puts the magnetic moment at 9.6 μB per formula unit. As for the uncorrected energy: -152.06 eV/cell.

The structure belongs to space group C2/m (No. 12); the cell edges are 19.4196, 4.4149 and 8.9394 Å and the angles 90.00°, 104.02° and 90.00°. The inequivalent atoms are Tb at (0.1663, 0.0000, 0.3324), Ce at (0.0000, 0.5000, 0.5000), Ce at (0.1661, 0.0000, 0.8327), Pu at (0.0000, 0.5000, 0.0000), Te at (0.0023, 0.0000, 0.2469), Te at (0.1656, 0.5000, 0.0889) and Te at (0.1690, 0.5000, 0.5775).

=====

Copy entry 6 word for word.
First-principles (PBE) data for an optimized crystal structure of NdLuPb2, as listed in Alexandria via LeMat-Bulk.

The calculation puts the magnetic moment at 0.0 μB per formula unit. As for the uncorrected energy: -18.38 eV/cell. The formation enthalpy at 0 K is -0.42 eV per atom.

The structure belongs to space group P4/mmm (No. 123); the cell edges are 5.0614, 5.0614 and 4.4942 Å and the angles 90.00°, 90.00° and 90.00°. The inequivalent atoms are Nd at (0.0000, 0.0000, 0.0000), Lu at (0.5000, 0.5000, 0.0000) and Pb at (0.0000, 0.5000, 0.5000).

=====

Which value of uncorrected energy does entry 6 give?
-18.38 eV/cell